Model P:
Mg5TlCd2: optimized geometry, GGA-PBE.

Lattice parameters (Å, degrees): 6.176 6.176 6.176 107.91 107.91 112.66
Sites, in units of the cell vectors:
Mg 0.278 0.778 0.000
Mg 0.778 0.278 0.000
Tl 0.778 0.778 0.000
Mg 0.278 0.277 0.000
Mg 0.278 0.278 0.500
Cd 0.778 0.278 0.500
Mg 0.778 0.778 0.500
Cd 0.278 0.778 0.500

Values from the calculation:
**Magnetic moment**: 0.0 μB per formula unit

***

Model Q:
Mg5TlCd2: optimized geometry, GGA-PBE.

Lattice parameters (Å, degrees): 7.487 7.487 8.506 116.11 116.11 90.00
Sites, in units of the cell vectors:
Tl 0.250 0.250 0.500
Mg 0.810 0.004 0.314
Mg 0.496 0.690 0.686
Mg 0.310 0.810 0.314
Cd 0.641 0.141 0.000
Mg 0.504 0.310 0.314
Mg 0.000 0.000 0.000
Cd 0.859 0.641 0.000
Mg 0.500 0.500 0.000
Mg 0.004 0.504 0.314
Mg 0.996 0.496 0.686
Cd 0.359 0.859 0.000
Tl 0.750 0.750 0.500
Mg 0.190 0.996 0.686
Cd 0.141 0.359 0.000
Mg 0.690 0.190 0.686

Values from the calculation:
**Magnetic moment**: 0.0 μB per formula unit

***

Short version: model Q is the least stable of them.

***

Model P:
Mg3Tl2Cd2: optimized geometry, GGA-PBE.

Lattice parameters (Å, degrees): 5.174 5.294 8.592 91.59 114.94 123.19
Sites, in units of the cell vectors:
Cd 0.484 0.742 0.581
Mg 0.692 0.849 0.288
Mg 0.000 0.000 0.000
Cd 0.516 0.258 0.419
Tl 0.839 0.422 0.150
Mg 0.308 0.151 0.712
Tl 0.161 0.578 0.850

Values from the calculation:
**Magnetic moment**: 0.0 μB per formula unit

***

Model Q:
Mg3Tl2Cd2: optimized geometry, GGA-PBE.

Lattice parameters (Å, degrees): 3.370 7.491 7.647 113.21 90.46 103.57
Sites, in units of the cell vectors:
Tl 0.636 0.273 0.830
Mg 0.000 0.000 0.000
Tl 0.364 0.727 0.170
Mg 0.292 0.591 0.716
Mg 0.708 0.409 0.284
Cd 0.077 0.159 0.426
Cd 0.923 0.841 0.574

Values from the calculation:
**Magnetic moment**: 0.0 μB per formula unit

***

Short version: model Q is the least stable of them.

***

Model P:
Mg12Tl5Cd2: optimized geometry, GGA-PBE.

Lattice parameters (Å, degrees): 6.234 8.846 9.811 102.73 90.00 110.63
Sites, in units of the cell vectors:
Cd 0.244 0.000 0.000
Mg 0.481 0.961 0.658
Cd 0.756 0.000 0.000
Mg 0.048 0.606 0.883
Mg 0.894 0.295 0.613
Mg 0.401 0.295 0.613
Mg 0.558 0.606 0.883
Mg 0.106 0.705 0.387
Mg 0.599 0.705 0.387
Mg 0.952 0.394 0.117
Tl 0.000 0.000 0.500
Tl 0.301 0.601 0.618
Mg 0.097 0.194 0.291
Mg 0.519 0.039 0.342
Tl 0.362 0.723 0.133
Tl 0.638 0.277 0.867
Mg 0.903 0.806 0.709
Tl 0.699 0.399 0.382
Mg 0.442 0.394 0.117

Values from the calculation:
**Magnetic moment**: 0.0 μB per formula unit

***

Model Q:
Mg12Tl5Cd2: optimized geometry, GGA-PBE.

Lattice parameters (Å, degrees): 5.819 9.482 9.482 65.45 76.96 76.96
Sites, in units of the cell vectors:
Cd 0.000 0.752 0.248
Mg 0.795 0.939 0.454
Mg 0.795 0.454 0.939
Tl 0.136 0.676 0.676
Tl 0.500 0.000 0.000
Mg 0.621 0.651 0.151
Mg 0.712 0.552 0.552
Mg 0.379 0.849 0.349
Tl 0.548 0.788 0.788
Tl 0.864 0.324 0.324
Mg 0.012 0.894 0.894
Mg 0.379 0.349 0.849
Tl 0.452 0.212 0.212
Mg 0.205 0.546 0.061
Mg 0.621 0.151 0.651
Cd 0.000 0.248 0.752
Mg 0.288 0.448 0.448
Mg 0.988 0.106 0.106
Mg 0.205 0.061 0.546

Values from the calculation:
**Magnetic moment**: 0.0 μB per formula unit

***

Short version: model P is the least stable of them.

***

Model P:
Mg6TlCd5: optimized geometry, GGA-PBE.

Lattice parameters (Å, degrees): 5.029 8.624 8.624 120.19 106.49 106.49
Sites, in units of the cell vectors:
Mg 0.746 0.577 0.916
Cd 0.000 0.666 0.334
Cd 0.500 0.832 0.168
Mg 0.254 0.084 0.423
Mg 0.245 0.744 0.744
Mg 0.755 0.256 0.256
Mg 0.254 0.423 0.084
Cd 0.500 0.500 0.500
Cd 0.000 0.334 0.666
Mg 0.746 0.916 0.577
Cd 0.500 0.168 0.832
Tl 0.000 0.000 0.000

Values from the calculation:
**Magnetic moment**: 0.0 μB per formula unit

***

Model Q:
Mg6TlCd5: optimized geometry, GGA-PBE.

Lattice parameters (Å, degrees): 8.631 4.960 7.814 71.50 80.03 56.95
Sites, in units of the cell vectors:
Cd 0.500 0.836 0.328
Mg 0.255 0.911 0.663
Cd 0.500 0.500 0.000
Mg 0.745 0.089 0.337
Cd 0.000 0.330 0.340
Cd 0.000 0.670 0.660
Mg 0.748 0.752 0.000
Mg 0.745 0.427 0.663
Cd 0.500 0.164 0.672
Mg 0.255 0.573 0.337
Tl 0.000 0.000 0.000
Mg 0.252 0.248 0.000

Values from the calculation:
**Magnetic moment**: 0.0 μB per formula unit

***

Short version: model Q is the least stable of them.

***

Model P:
Mg5Tl5Cd2: optimized geometry, GGA-PBE.

Lattice parameters (Å, degrees): 4.383 9.907 7.633 72.26 73.31 77.22
Sites, in units of the cell vectors:
Tl 0.500 0.500 0.500
Cd 0.172 0.492 0.164
Tl 0.664 0.008 0.664
Mg 0.079 0.259 0.583
Cd 0.828 0.508 0.836
Mg 0.749 0.254 0.249
Tl 0.411 0.251 0.926
Tl 0.589 0.749 0.074
Tl 0.336 0.992 0.336
Mg 0.921 0.741 0.417
Mg 0.000 0.000 0.000
Mg 0.251 0.746 0.751

Values from the calculation:
**Magnetic moment**: 0.0 μB per formula unit

***

Model Q:
Mg5Tl5Cd2: optimized geometry, GGA-PBE.

Lattice parameters (Å, degrees): 5.059 8.025 9.228 119.45 90.00 108.37
Sites, in units of the cell vectors:
Tl 0.598 0.196 0.935
Cd 0.152 0.304 0.802
Mg 0.752 0.504 0.764
Mg 0.086 0.173 0.418
Mg 0.914 0.827 0.582
Mg 0.248 0.496 0.236
Tl 0.402 0.804 0.065
Tl 0.500 0.000 0.500
Tl 0.330 0.660 0.658
Tl 0.670 0.340 0.342
Cd 0.848 0.696 0.198
Mg 0.000 0.000 0.000

Values from the calculation:
**Magnetic moment**: 0.0 μB per formula unit

***

Short version: model Q is the least stable of them.

***

Model P:
Mg4TlCd4: optimized geometry, GGA-PBE.

Lattice parameters (Å, degrees): 4.392 7.161 7.161 84.60 72.14 72.14
Sites, in units of the cell vectors:
Mg 0.831 0.500 0.338
Mg 0.169 0.500 0.662
Mg 0.831 0.838 0.000
Tl 0.500 0.500 0.000
Cd 0.836 0.164 0.663
Cd 0.164 0.836 0.337
Cd 0.500 0.163 0.336
Mg 0.169 0.162 0.000
Cd 0.500 0.837 0.664

Values from the calculation:
**Magnetic moment**: 0.0 μB per formula unit

***

Model Q:
Mg4TlCd4: optimized geometry, GGA-PBE.

Lattice parameters (Å, degrees): 6.589 6.589 10.282 90.00 90.00 90.00
Sites, in units of the cell vectors:
Mg 0.500 0.246 0.771
Mg 0.000 0.746 0.729
Cd 0.500 0.783 0.065
Tl 0.500 0.500 0.500
Tl 0.000 0.000 0.000
Cd 0.717 0.000 0.565
Cd 0.000 0.283 0.435
Mg 0.754 0.500 0.229
Mg 0.254 0.000 0.271
Cd 0.217 0.500 0.935
Cd 0.783 0.500 0.935
Cd 0.283 0.000 0.565
Mg 0.746 0.000 0.271
Cd 0.500 0.217 0.065
Cd 0.000 0.717 0.435
Mg 0.246 0.500 0.229
Mg 0.500 0.754 0.771
Mg 0.000 0.254 0.729

Values from the calculation:
**Magnetic moment**: 0.0 μB per formula unit

***

Short version: model Q is the least stable of them.

***

Model P:
Mg6Tl12Cd: optimized geometry, GGA-PBE.

Lattice parameters (Å, degrees): 8.826 8.826 8.826 110.24 110.24 110.24
Sites, in units of the cell vectors:
Tl 0.739 0.172 0.113
Tl 0.203 0.474 0.326
Tl 0.326 0.203 0.474
Mg 0.564 0.045 0.350
Mg 0.650 0.436 0.955
Mg 0.436 0.955 0.650
Tl 0.526 0.674 0.797
Tl 0.474 0.326 0.203
Tl 0.674 0.797 0.526
Tl 0.261 0.828 0.887
Tl 0.828 0.887 0.261
Mg 0.045 0.350 0.564
Tl 0.172 0.113 0.739
Tl 0.113 0.739 0.172
Mg 0.350 0.564 0.045
Mg 0.955 0.650 0.436
Tl 0.797 0.526 0.674
Cd 0.000 0.000 0.000
Tl 0.887 0.261 0.828

Values from the calculation:
**Magnetic moment**: 0.0 μB per formula unit

***

Model Q:
Mg6Tl12Cd: optimized geometry, GGA-PBE.

Lattice parameters (Å, degrees): 8.620 8.620 8.620 106.70 106.70 106.70
Sites, in units of the cell vectors:
Tl 0.991 0.852 0.319
Mg 0.608 0.754 0.319
Tl 0.690 0.613 0.902
Mg 0.319 0.608 0.754
Mg 0.392 0.246 0.681
Tl 0.319 0.991 0.852
Mg 0.754 0.319 0.608
Tl 0.387 0.098 0.310
Mg 0.681 0.392 0.246
Tl 0.681 0.009 0.148
Mg 0.246 0.681 0.392
Tl 0.902 0.690 0.613
Tl 0.148 0.681 0.009
Cd 0.000 0.000 0.000
Tl 0.613 0.902 0.690
Tl 0.098 0.310 0.387
Tl 0.852 0.319 0.991
Tl 0.009 0.148 0.681
Tl 0.310 0.387 0.098

Values from the calculation:
**Magnetic moment**: 0.0 μB per formula unit

***

Short version: model Q is the least stable of them.

***

Model P:
MgZrTlCd: optimized geometry, GGA-PBE.

Lattice parameters (Å, degrees): 5.033 5.033 5.033 60.00 60.00 60.00
Sites, in units of the cell vectors:
Mg 0.500 0.500 0.500
Zr 0.000 0.000 0.000
Tl 0.750 0.750 0.750
Cd 0.250 0.250 0.250

Values from the calculation:
**Magnetic moment**: 0.0 μB per formula unit

***

Model Q:
MgZrTlCd: optimized geometry, GGA-PBE.

Lattice parameters (Å, degrees): 4.298 4.465 4.575 90.00 90.00 90.00
Sites, in units of the cell vectors:
Zr 0.000 0.000 0.000
Tl 0.500 0.500 0.000
Cd 0.500 0.000 0.500
Mg 0.000 0.500 0.500

Values from the calculation:
**Magnetic moment**: 0.0 μB per formula unit

***

Short version: model P is the least stable of them.

***

Model P:
TmMg2Cd: optimized geometry, GGA-PBE.

Lattice parameters (Å, degrees): 4.845 4.449 4.449 90.00 90.00 90.00
Sites, in units of the cell vectors:
Tm 0.500 0.500 0.500
Mg 0.000 0.500 0.000
Cd 0.500 0.000 0.000
Mg 0.000 0.000 0.500

Values from the calculation:
**Magnetic moment**: 0.0 μB per formula unit

***

Model Q:
TmMg2Cd: optimized geometry, GGA-PBE.

Lattice parameters (Å, degrees): 5.079 5.079 5.073 90.66 119.62 119.66
Sites, in units of the cell vectors:
Cd 0.125 0.312 0.438
Tm 0.625 0.563 0.187
Mg 0.125 0.812 0.937
Mg 0.625 0.063 0.688

Values from the calculation:
**Magnetic moment**: 0.0 μB per formula unit

***

Short version: model P is the least stable of them.

***

Model P:
TmMg2Cd: optimized geometry, GGA-PBE.

Lattice parameters (Å, degrees): 3.307 3.307 10.642 81.06 81.06 60.00
Sites, in units of the cell vectors:
Mg 0.078 0.078 0.766
Mg 0.255 0.255 0.235
Tm 0.501 0.501 0.498
Cd 0.666 0.666 0.001

Values from the calculation:
**Magnetic moment**: 0.0 μB per formula unit

***

Model Q:
TmMg2Cd: optimized geometry, GGA-PBE.

Lattice parameters (Å, degrees): 5.075 5.075 5.075 60.00 60.00 60.00
Sites, in units of the cell vectors:
Tm 0.000 0.000 0.000
Mg 0.250 0.250 0.250
Cd 0.500 0.500 0.500
Mg 0.750 0.750 0.750

Values from the calculation:
**Magnetic moment**: 0.0 μB per formula unit

***

Short version: model P is the least stable of them.

***

Model P:
Tm4MgCd: optimized geometry, GGA-PBE.

Lattice parameters (Å, degrees): 5.080 5.080 7.346 90.00 90.00 90.00
Sites, in units of the cell vectors:
Tm 0.501 0.997 0.740
Tm 0.001 0.497 0.256
Mg 0.501 0.497 0.998
Cd 0.001 0.997 0.498
Tm 0.001 0.497 0.740
Tm 0.501 0.997 0.256

Values from the calculation:
**Magnetic moment**: 0.0 μB per formula unit

***

Model Q:
Tm4MgCd: optimized geometry, GGA-PBE.

Lattice parameters (Å, degrees): 3.538 3.538 13.215 90.00 90.00 90.00
Site moments in Bohr magnetons follow the coordinates.
Sites, in units of the cell vectors:
Tm 0.500 0.500 0.163  0.36
Tm 0.500 0.500 0.837  0.36
Mg 0.000 0.000 0.000  0.01
Cd 0.500 0.500 0.500  0.01
Tm 0.000 0.000 0.656  0.35
Tm 0.000 0.000 0.344  0.35

Values from the calculation:
**Magnetic moment**: 1.9 μB per formula unit

***

Short version: model P is the least stable of them.